1.
The following is a GGA-PBE calculation of crystalline Ac4AgRh2 at its relaxed geometry, from Alexandria.

Results
energy of formation from the pure elements	-0.4908	eV per atom
ΔE to the lowest computed polymorph	46	meV per atom
uncorrected energy	-74.85	eV for the cell shown
density	9394	kg/m3

Cell: 8.2482 8.2481 8.2503 Å, 108.54 108.57 111.29°
Last column: nearest neighbours and their distance in Å.
Sites, in units of the cell vectors:
Ac (0.8610, 0.2350, 0.2539)  2 Rh 2.91-3.06, 1 Ag 3.16
Ac (0.2693, 0.5152, 0.1264)  2 Rh 2.91-3.06, 1 Ag 3.17
Ac (0.9810, 0.6069, 0.7460)  2 Rh 2.91-3.06, 1 Ag 3.17
Ac (0.7654, 0.0193, 0.6264)  2 Rh 2.91-3.06, 1 Ag 3.17
Ac (0.3929, 0.1390, 0.3738)  2 Rh 2.91-3.06, 1 Ag 3.16
Ac (0.3889, 0.1429, 0.8738)  2 Rh 2.91-3.06, 1 Ag 3.16
Ac (0.4849, 0.6112, 0.7540)  2 Rh 2.91-3.06, 1 Ag 3.16
Ac (0.8569, 0.7307, 0.2458)  2 Rh 2.91-3.06, 1 Ag 3.16
Ag (0.2501, 0.7502, 0.5000)  4 Ac 3.16-3.17
Ag (0.9996, 0.9995, 0.0000)  4 Ac 3.16-3.17
Rh (0.7567, 0.3751, 0.8818)  4 Ac 2.91-3.06
Rh (0.4933, 0.8750, 0.1181)  4 Ac 2.91-3.06
Rh (0.6251, 0.5065, 0.3816)  4 Ac 2.91-3.06
Rh (0.1250, 0.2435, 0.6183)  4 Ac 2.91-3.06

2.
The following is a GGA-PBE calculation of crystalline AcAgRh2 at its relaxed geometry, from Alexandria.

Results
energy of formation from the pure elements	-0.2331	eV per atom
uncorrected energy	-22.59	eV for the cell shown
density	11270	kg/m3

Cell: 4.0331 4.4444 4.4444 Å, 90.00 90.00 90.00°
Last column: nearest neighbours and their distance in Å.
Sites, in units of the cell vectors:
Ac (0.5000, 0.5000, 0.5000)  8 Rh 3.00, 4 Ag 3.14
Rh (0.0000, 0.0000, 0.5000)  4 Ag 3.00, 4 Ac 3.00, 4 Rh 3.14
Rh (0.0000, 0.5000, 0.0000)  4 Ac 3.00, 4 Ag 3.00, 4 Rh 3.14
Ag (0.5000, 0.0000, 0.0000)  8 Rh 3.00, 4 Ac 3.14

3.
The following is a GGA-PBE calculation of crystalline Ac8AgRh2 at its relaxed geometry, from Alexandria.

Results
energy of formation from the pure elements	-0.2182	eV per atom
uncorrected energy	-52.82	eV for the cell shown
density	8699	kg/m3

Cell: 6.5715 8.4733 8.4733 Å, 116.09 98.58 98.58°
Last column: nearest neighbours and their distance in Å.
Sites, in units of the cell vectors:
Ac (0.5756, 0.3515, 0.0908)  2 Rh 2.96-2.98
Ac (0.5756, 0.0908, 0.3515)  2 Rh 2.96-2.98
Ac (0.1799, 0.3816, 0.3816)  1 Ag 3.30, 2 Rh 3.63
Ac (0.9890, 0.2251, 0.7762)  1 Ag 3.37, 2 Rh 3.37-3.45, 2 Ac 3.75-3.77
Ac (0.9890, 0.7762, 0.2251)  1 Ag 3.37, 2 Rh 3.37-3.45, 2 Ac 3.75-3.77
Ac (0.8024, 0.6318, 0.6318)  1 Ag 3.45, 2 Rh 3.70, 3 Ac 3.79-3.84
Ac (0.3924, 0.9151, 0.6541)  2 Rh 2.94-3.01
Ac (0.3924, 0.6541, 0.9151)  2 Rh 2.94-3.01
Ag (0.1380, 0.0056, 0.0056)  8 Ac 3.30-3.52
Rh (0.4827, 0.7126, 0.2894)  4 Ac 2.94-3.01
Rh (0.4827, 0.2894, 0.7126)  4 Ac 2.94-3.01

4.
The following is a GGA-PBE calculation of crystalline Ac5AgRh4 at its relaxed geometry, from Alexandria.

Results
energy of formation from the pure elements	-0.5007	eV per atom
uncorrected energy	-57.81	eV for the cell shown
density	10296	kg/m3

Cell: 3.7431 3.7431 19.0457 Å, 90.00 90.00 90.00°
Last column: nearest neighbours and their distance in Å.
Sites, in units of the cell vectors:
Ac (0.5000, 0.5000, 0.1161)  4 Rh 3.13, 4 Ag 3.45
Ac (0.5000, 0.5000, 0.3079)  8 Rh 3.18-3.31
Ac (0.5000, 0.5000, 0.5000)  8 Rh 3.25
Ac (0.5000, 0.5000, 0.6921)  8 Rh 3.18-3.31
Ac (0.5000, 0.5000, 0.8839)  4 Rh 3.13, 4 Ag 3.45
Ag (0.0000, 0.0000, 0.0000)  8 Ac 3.45, 4 Ag 3.74
Rh (0.0000, 0.0000, 0.2038)  8 Ac 3.13-3.31
Rh (0.0000, 0.0000, 0.4008)  8 Ac 3.18-3.25
Rh (0.0000, 0.0000, 0.5992)  8 Ac 3.18-3.25
Rh (0.0000, 0.0000, 0.7962)  8 Ac 3.13-3.31

5.
The following is a GGA-PBE calculation of crystalline AcAgRh at its relaxed geometry, from Alexandria.

Results
energy of formation from the pure elements	-0.1833	eV per atom
ΔE to the lowest computed polymorph	247	meV per atom
uncorrected energy	-14.86	eV for the cell shown
density	10253	kg/m3

Cell: 3.7676 3.7676 5.6606 Å, 109.44 109.44 90.00°
Last column: nearest neighbours and their distance in Å.
Sites, in units of the cell vectors:
Ac (0.2725, 0.2725, 0.5450)  5 Ag 3.03-3.31, 5 Rh 3.13-3.36
Rh (0.6085, 0.6085, 0.2170)  4 Ag 3.01, 5 Ac 3.13-3.36
Ag (0.9690, 0.9690, 0.9380)  4 Rh 3.01, 5 Ac 3.03-3.31

6.
The following is a GGA-PBE calculation of crystalline Ac2Ag3Rh at its relaxed geometry, from Alexandria.

Results
energy of formation from the pure elements	-0.3443	eV per atom
uncorrected energy	-104.75	eV for the cell shown
density	9154	kg/m3

Cell: 8.7188 9.8354 9.3854 Å, 78.12 62.32 63.69°
Last column: nearest neighbours and their distance in Å.
Sites, in units of the cell vectors:
Ac (0.8878, 0.5000, 0.2243)  2 Rh 3.02, 6 Ag 3.28-3.37
Ac (0.1378, 0.0000, 0.7243)  2 Rh 3.02, 6 Ag 3.28-3.37
Ac (0.8622, 0.0000, 0.2757)  2 Rh 3.02, 6 Ag 3.28-3.37
Ac (0.6122, 0.5000, 0.7757)  2 Rh 3.02, 6 Ag 3.28-3.37
Ac (0.3704, 0.0000, 0.2592)  2 Rh 3.11, 4 Ag 3.41-3.45
Ac (0.6296, 0.0000, 0.7408)  2 Rh 3.11, 4 Ag 3.41-3.45
Ac (0.3796, 0.5000, 0.2408)  2 Rh 3.11, 4 Ag 3.41-3.45
Ac (0.1204, 0.5000, 0.7592)  2 Rh 3.11, 4 Ag 3.41-3.45
Ag (0.2967, 0.8381, 0.0020)  2 Ag 2.75-2.85, 1 Rh 2.77
Ag (0.1368, 0.1619, 0.9980)  2 Ag 2.75-2.85, 1 Rh 2.77
Ag (0.8652, 0.8381, 0.9980)  2 Ag 2.75-2.85, 1 Rh 2.77
Ag (0.7013, 0.1619, 0.0020)  2 Ag 2.75-2.85, 1 Rh 2.77
Ag (0.4533, 0.6619, 0.4980)  2 Ag 2.75-2.85, 1 Rh 2.77
Ag (0.6132, 0.3381, 0.5020)  2 Ag 2.75-2.85, 1 Rh 2.77
Ag (0.8848, 0.6619, 0.5020)  2 Ag 2.75-2.85, 1 Rh 2.77
Ag (0.3999, 0.2001, 0.5000)  1 Rh 2.71, 2 Ag 2.75
Ag (0.6499, 0.7001, 0.0000)  1 Rh 2.71, 2 Ag 2.75
Ag (0.3501, 0.2999, 0.0000)  1 Rh 2.71, 2 Ag 2.75
Ag (0.1001, 0.7999, 0.5000)  1 Rh 2.71, 2 Ag 2.75
Ag (0.0487, 0.3381, 0.4980)  2 Ag 2.75-2.85, 1 Rh 2.77
Rh (0.5539, 0.8922, 0.5000)  3 Ag 2.71-2.77, 2 Ac 3.02
Rh (0.1961, 0.6078, 0.0000)  3 Ag 2.71-2.77, 2 Ac 3.02
Rh (0.9461, 0.1078, 0.5000)  3 Ag 2.71-2.77, 2 Ac 3.02
Rh (0.8039, 0.3922, 0.0000)  3 Ag 2.71-2.77, 2 Ac 3.02

7.
The following is a GGA-PBE calculation of crystalline Ac3Ag2Rh3 at its relaxed geometry, from Alexandria.

Results
energy of formation from the pure elements	-0.3991	eV per atom
uncorrected energy	-86.55	eV for the cell shown
density	10104	kg/m3

Cell: 5.8460 8.8467 8.8467 Å, 120.00 90.00 90.00°
Last column: nearest neighbours and their distance in Å.
Sites, in units of the cell vectors:
Ac (0.7500, 0.2943, 0.0000)  5 Rh 2.91-3.04
Ac (0.7500, 0.7057, 0.7057)  5 Rh 2.91-3.04
Ac (0.7500, 0.0000, 0.2943)  5 Rh 2.91-3.04
Ac (0.2500, 0.7057, 0.0000)  5 Rh 2.91-3.04
Ac (0.2500, 0.2943, 0.2943)  5 Rh 2.91-3.04
Ac (0.2500, 0.0000, 0.7057)  5 Rh 2.91-3.04
Ag (0.0000, 0.3333, 0.6667)  2 Ag 2.92, 6 Rh 3.14
Ag (0.5000, 0.6667, 0.3333)  2 Ag 2.92, 6 Rh 3.14
Ag (0.0000, 0.6667, 0.3333)  2 Ag 2.92, 6 Rh 3.14
Ag (0.5000, 0.3333, 0.6667)  2 Ag 2.92, 6 Rh 3.14
Rh (0.7500, 0.6229, 0.0000)  5 Ac 2.91-3.04, 4 Ag 3.14
Rh (0.7500, 0.3771, 0.3771)  5 Ac 2.91-3.04, 4 Ag 3.14
Rh (0.7500, 0.0000, 0.6229)  5 Ac 2.91-3.04, 4 Ag 3.14
Rh (0.2500, 0.3771, 0.0000)  5 Ac 2.91-3.04, 4 Ag 3.14
Rh (0.2500, 0.6229, 0.6229)  5 Ac 2.91-3.04, 4 Ag 3.14
Rh (0.2500, 0.0000, 0.3771)  5 Ac 2.91-3.04, 4 Ag 3.14

8.
The following is a GGA-PBE calculation of crystalline Ac4Ag2Rh at its relaxed geometry, from Alexandria.

Results
energy of formation from the pure elements	-0.3603	eV per atom
ΔE to the lowest computed polymorph	0	meV per atom
uncorrected energy	-32.01	eV for the cell shown
density	8433	kg/m3

Cell: 4.5155 6.8170 8.3080 Å, 100.65 105.77 90.00°
Last column: nearest neighbours and their distance in Å.
Sites, in units of the cell vectors:
Ac (0.8450, 0.1741, 0.6900)  1 Rh 2.95, 2 Ag 3.29
Ac (0.1550, 0.8259, 0.3100)  1 Rh 2.95, 2 Ag 3.29
Ac (0.5758, 0.2714, 0.1516)  2 Rh 3.02, 2 Ag 3.35
Ac (0.4242, 0.7286, 0.8484)  2 Rh 3.02, 2 Ag 3.35
Ag (0.7669, 0.6370, 0.5338)  2 Ag 2.91
Ag (0.2331, 0.3630, 0.4662)  2 Ag 2.91
Rh (0.0000, 0.0000, 0.0000)  6 Ac 2.95-3.02

9.
The following is a GGA-PBE calculation of crystalline AcAgRh at its relaxed geometry, from Alexandria.

Results
energy of formation from the pure elements	-0.3291	eV per atom
ΔE to the lowest computed polymorph	102	meV per atom
uncorrected energy	-15.30	eV for the cell shown
density	9622	kg/m3

Cell: 4.0686 4.6306 4.6306 Å, 120.00 90.00 90.00°
Last column: nearest neighbours and their distance in Å.
Sites, in units of the cell vectors:
Ac (0.6665, 0.3333, 0.6667)  6 Rh 3.36, 6 Ag 3.36
Rh (0.1673, 0.6667, 0.3333)  3 Ag 2.67
Ag (0.1663, 0.0000, 0.0000)  3 Rh 2.67

10.
The following is a GGA-PBE calculation of crystalline Ac12Ag6Rh at its relaxed geometry, from Alexandria.

Results
energy of formation from the pure elements	-0.1060	eV per atom
uncorrected energy	-75.77	eV for the cell shown
density	7831	kg/m3

Cell: 9.1358 9.1358 9.1358 Å, 98.19 98.19 98.19°
Last column: nearest neighbours and their distance in Å.
Sites, in units of the cell vectors:
Ac (0.8090, 0.5841, 0.4392)  4 Ag 3.15-3.52
Ac (0.4392, 0.8090, 0.5841)  4 Ag 3.15-3.52
Ac (0.5841, 0.4392, 0.8090)  4 Ag 3.15-3.52
Ac (0.1910, 0.4159, 0.5608)  4 Ag 3.15-3.52
Ac (0.5608, 0.1910, 0.4159)  4 Ag 3.15-3.52
Ac (0.4159, 0.5608, 0.1910)  4 Ag 3.15-3.52
Ac (0.0779, 0.9805, 0.3173)  1 Rh 2.92, 1 Ag 3.20
Ac (0.0195, 0.6827, 0.9221)  1 Rh 2.92, 1 Ag 3.20
Ac (0.6827, 0.9221, 0.0195)  1 Rh 2.92, 1 Ag 3.20
Ac (0.9221, 0.0195, 0.6827)  1 Rh 2.92, 1 Ag 3.20
Ac (0.9805, 0.3173, 0.0779)  1 Rh 2.92, 1 Ag 3.20
Ac (0.3173, 0.0779, 0.9805)  1 Rh 2.92, 1 Ag 3.20
Ag (0.6879, 0.8744, 0.3603)  6 Ac 3.15-3.52
Ag (0.6397, 0.3121, 0.1256)  6 Ac 3.15-3.52
Ag (0.1256, 0.6397, 0.3121)  6 Ac 3.15-3.52
Ag (0.3121, 0.1256, 0.6397)  6 Ac 3.15-3.52
Ag (0.3603, 0.6879, 0.8744)  6 Ac 3.15-3.52
Ag (0.8744, 0.3603, 0.6879)  6 Ac 3.15-3.52
Rh (0.0000, 0.0000, 0.0000)  6 Ac 2.92

11.
The following is a GGA-PBE calculation of crystalline AcAgRh at its relaxed geometry, from Alexandria.

Results
energy of formation from the pure elements	-0.4307	eV per atom
ΔE to the lowest computed polymorph	0	meV per atom
uncorrected energy	-31.21	eV for the cell shown
density	10023	kg/m3

Cell: 4.2634 5.7272 7.6016 Å, 59.97 89.99 68.12°
Last column: nearest neighbours and their distance in Å.
Sites, in units of the cell vectors:
Ac (0.2302, 0.8324, 0.4827)  5 Rh 2.97-3.18
Ac (0.3642, 0.5608, 0.1129)  5 Rh 2.97-3.18
Ag (0.9828, 0.3254, 0.8688)  3 Rh 2.82-2.89, 2 Ag 3.03
Ag (0.6116, 0.0678, 0.7267)  3 Rh 2.82-2.89, 2 Ag 3.03
Rh (0.6534, 0.9852, 0.1355)  1 Rh 2.71, 3 Ag 2.82-2.89, 1 Ac 2.97
Rh (0.9411, 0.4079, 0.4600)  1 Rh 2.71, 3 Ag 2.82-2.89, 1 Ac 2.97

12.
The following is a GGA-PBE calculation of crystalline Ac2Ag3Rh2 at its relaxed geometry, from Alexandria.

Results
energy of formation from the pure elements	-0.3825	eV per atom
uncorrected energy	-34.15	eV for the cell shown
density	10163	kg/m3

Cell: 4.2174 5.5291 7.5067 Å, 96.27 90.00 112.42°
Last column: nearest neighbours and their distance in Å.
Sites, in units of the cell vectors:
Ac (0.6241, 0.2482, 0.3336)  5 Rh 2.93-3.26
Ac (0.3759, 0.7518, 0.6664)  5 Rh 2.93-3.26
Ag (0.3127, 0.6253, 0.1067)  4 Ag 2.86-3.02, 2 Rh 2.87
Ag (0.0000, 0.0000, 0.0000)  2 Rh 2.84, 4 Ag 3.02
Ag (0.6873, 0.3747, 0.8933)  4 Ag 2.86-3.02, 2 Rh 2.87
Rh (0.0884, 0.1768, 0.6548)  1 Rh 2.77, 3 Ag 2.84-2.87, 3 Ac 2.93-3.04
Rh (0.9116, 0.8232, 0.3452)  1 Rh 2.77, 3 Ag 2.84-2.87, 3 Ac 2.93-3.04